# 1
Here is a geometry-optimized AcSnBiO6 structure from Alexandria via LeMat-Bulk. Energies are from GGA-PBE.

a b c (Å): 5.5654 5.5654 10.8553
angles (deg): 90.00 90.00 120.00
With the nearest neighbours (Å) after each atom.
Positions (direct):
1 Ac 0.0000 0.0000 0.0000  6 O 2.56
2 Ac 0.0000 0.0000 0.5000  6 O 2.56
3 Sn 0.3333 0.6667 0.2500  6 O 2.10
4 Sn 0.6667 0.3333 0.7500  6 O 2.10
5 Bi 0.3333 0.6667 0.7500  6 O 2.15
6 Bi 0.6667 0.3333 0.2500  6 O 2.15
7 O 0.0057 0.3704 0.1413  1 Sn 2.10, 1 Bi 2.15
8 O 0.0057 0.6353 0.3587  1 Sn 2.10, 1 Bi 2.15
9 O 0.3647 0.3704 0.3587  1 Sn 2.10, 1 Bi 2.15
10 O 0.3647 0.9943 0.1413  1 Sn 2.10, 1 Bi 2.15
11 O 0.3704 0.0057 0.6413  1 Sn 2.10, 1 Bi 2.15
12 O 0.3704 0.3647 0.8587  1 Sn 2.10, 1 Bi 2.15
13 O 0.6296 0.6353 0.1413  1 Sn 2.10, 1 Bi 2.15
14 O 0.6296 0.9943 0.3587  1 Sn 2.10, 1 Bi 2.15
15 O 0.6353 0.0057 0.8587  1 Sn 2.10, 1 Bi 2.15
16 O 0.6353 0.6296 0.6413  1 Sn 2.10, 1 Bi 2.15
17 O 0.9943 0.3647 0.6413  1 Sn 2.10, 1 Bi 2.15
18 O 0.9943 0.6296 0.8587  1 Sn 2.10, 1 Bi 2.15

Output
final energy: -6.528 eV per atom
ΔE_f (raw): -43.59 kcal/mol of atoms
space group: P-31c
total magnetization: 0.00 μB per formula unit


# 2
Here is a geometry-optimized Ac2SnBi2O2 structure from Alexandria via LeMat-Bulk. Energies are from GGA-PBE.

a b c (Å): 4.0080 4.0080 15.6316
angles (deg): 90.00 90.00 120.00
With the nearest neighbours (Å) after each atom.
Positions (direct):
1 Ac 0.3333 0.6667 0.1074  4 O 2.43-2.63
2 Ac 0.6667 0.3333 0.8926  4 O 2.43-2.63
3 Sn 0.0000 0.0000 0.5000  2 Bi 3.26
4 Bi 0.0000 0.0000 0.2914  1 Sn 3.26
5 Bi 0.0000 0.0000 0.7086  1 Sn 3.26
6 O 0.3333 0.6667 0.9395  4 Ac 2.43-2.63
7 O 0.6667 0.3333 0.0605  4 Ac 2.43-2.63

Output
final energy: -5.818 eV per atom
ΔE_f (raw): -35.66 kcal/mol of atoms
space group: P-3m1
total magnetization: 0.00 μB per formula unit


# 3
Here is a geometry-optimized AcSnBi2O8 structure from Alexandria via LeMat-Bulk. Energies are from GGA-PBE.

a b c (Å): 5.1438 7.1535 5.1452
angles (deg): 90.00 92.55 90.00
With the nearest neighbours (Å) after each atom.
Positions (direct):
1 Ac 0.0000 0.0000 0.0000  6 O 2.45-2.46
2 Sn 0.0000 0.5000 0.0000  6 O 2.08-2.22
3 Bi 0.5000 0.2622 0.5000  6 O 2.18-2.27
4 Bi 0.5000 0.7378 0.5000  6 O 2.18-2.27
5 O 0.1955 0.2837 0.1939  1 Sn 2.08, 1 Bi 2.18
6 O 0.1955 0.7163 0.1939  1 Sn 2.08, 1 Bi 2.18
7 O 0.2984 0.5000 0.7003  1 Sn 2.22, 2 Bi 2.26
8 O 0.3281 0.0000 0.6698  2 Bi 2.27, 1 Ac 2.45
9 O 0.6719 0.0000 0.3302  2 Bi 2.27, 1 Ac 2.45
10 O 0.7016 0.5000 0.2997  1 Sn 2.22, 2 Bi 2.26
11 O 0.8045 0.2837 0.8061  1 Sn 2.08, 1 Bi 2.18
12 O 0.8045 0.7163 0.8061  1 Sn 2.08, 1 Bi 2.18

Output
final energy: -6.174 eV per atom
ΔE_f (raw): -35.64 kcal/mol of atoms
space group: P2/m
total magnetization: 0.00 μB per formula unit


# 4
Here is a geometry-optimized AcSnBi2O6 structure from Alexandria via LeMat-Bulk. Energies are from GGA-PBE.

a b c (Å): 6.1250 6.1250 6.1250
angles (deg): 61.88 61.88 61.88
With the nearest neighbours (Å) after each atom.
Positions (direct):
1 Ac 0.0000 0.0000 0.0000  6 O 2.46-2.61
2 Sn 0.4840 0.4840 0.4840  6 O 2.23-2.39
3 Bi 0.2668 0.2668 0.2668  6 O 2.31-2.52
4 Bi 0.7685 0.7685 0.7685  6 O 2.29-2.55
5 O 0.1263 0.6359 0.3741  1 Sn 2.23, 1 Bi 2.31, 1 Ac 2.46
6 O 0.1503 0.5964 0.8606  2 Bi 2.29-2.52, 1 Sn 2.39
7 O 0.3741 0.1263 0.6359  1 Sn 2.23, 1 Bi 2.31, 1 Ac 2.46
8 O 0.5964 0.8606 0.1503  2 Bi 2.29-2.52, 1 Sn 2.39
9 O 0.6359 0.3741 0.1263  1 Sn 2.23, 1 Bi 2.31, 1 Ac 2.46
10 O 0.8606 0.1503 0.5964  2 Bi 2.29-2.52, 1 Sn 2.39

Output
final energy: -6.254 eV per atom
ΔE_f (raw): -39.01 kcal/mol of atoms
space group: R3
total magnetization: 1.04 μB per formula unit